Entry 1:
# KLiSm

Crystalline KLiSm at its relaxed geometry (PBE, OQMD).

Cell lengths 8.002, 8.002, 8.002 Å; angles 90.00, 90.00, 90.00 degrees
Fractional coordinates of all 12 atoms:
K 0.000 0.000 0.000
K 0.000 0.500 0.500
K 0.500 0.000 0.500
K 0.500 0.500 0.000
Li 0.000 0.000 0.500
Li 0.000 0.500 0.000
Li 0.500 0.000 0.000
Li 0.500 0.500 0.500
Sm 0.250 0.250 0.250
Sm 0.250 0.750 0.750
Sm 0.750 0.250 0.750
Sm 0.750 0.750 0.250

Its relative energy among the computed polymorphs is 0 meV per atom. The total magnetization comes out at 0.16 μB/cell.


Entry 2:
# Hg2PdPb

Crystalline Hg2PdPb at its relaxed geometry (PBE, OQMD).

Cell lengths 7.168, 7.168, 7.168 Å; angles 90.00, 90.00, 90.00 degrees
Fractional coordinates of all 16 atoms:
Hg 0.000 0.000 0.000
Hg 0.000 0.500 0.500
Hg 0.250 0.250 0.250
Hg 0.250 0.750 0.750
Hg 0.500 0.000 0.500
Hg 0.500 0.500 0.000
Hg 0.750 0.250 0.750
Hg 0.750 0.750 0.250
Pd 0.250 0.250 0.750
Pd 0.250 0.750 0.250
Pd 0.750 0.250 0.250
Pd 0.750 0.750 0.750
Pb 0.000 0.000 0.500
Pb 0.000 0.500 0.000
Pb 0.500 0.000 0.000
Pb 0.500 0.500 0.500


Entry 3:
# PmGePt

Crystalline PmGePt at its relaxed geometry (PBE, OQMD).

Cell lengths 6.500, 6.500, 6.500 Å; angles 90.00, 90.00, 90.00 degrees
Fractional coordinates of all 12 atoms:
Pm 0.000 0.000 0.000
Pm 0.000 0.500 0.500
Pm 0.500 0.000 0.500
Pm 0.500 0.500 0.000
Ge 0.250 0.250 0.250
Ge 0.250 0.750 0.750
Ge 0.750 0.250 0.750
Ge 0.750 0.750 0.250
Pt 0.000 0.000 0.500
Pt 0.000 0.500 0.000
Pt 0.500 0.000 0.000
Pt 0.500 0.500 0.500

Its relative energy among the computed polymorphs is 434 meV per atom. The total magnetization comes out at 0.01 μB/cell.


VASP energy: -1.589, -2.326, -5.770 (eV/atom)